Crystalline TiNb2Zn2 at its relaxed geometry. Source: Alexandria via LeMat-Bulk, functional GGA-PBE.

Results
Magnetic moment   0.00 μB/atom
Energy relative to the lowest polymorph listed for this composition   129 meV/atom
Calculated volume   17.7 Å³/atom

Unit cell a=3.767 b=3.767 c=6.780 alpha=106.13 beta=106.13 gamma=90.00
Fractional coordinates of all 5 atoms:
Nb: 0.250 0.750 0.500
Zn: 0.592 0.592 0.183
Nb: 0.750 0.250 0.500
Ti: 0.000 0.000 0.000
Zn: 0.408 0.408 0.817

***

Crystalline K2NaInPb2 at its relaxed geometry. Source: Alexandria via LeMat-Bulk, functional GGA-PBE.

Results
Magnetic moment   0.00 μB/atom
Calculated volume   37.4 Å³/atom
Electronic total energy   -28.937 eV per cell

Unit cell a=7.256 b=7.148 c=10.037 alpha=110.86 beta=111.19 gamma=90.00
Fractional coordinates of all 12 atoms:
K: 0.587 0.828 0.657
In: 0.500 0.750 0.000
K: 0.413 0.172 0.343
Na: 0.000 0.750 0.000
K: 0.070 0.328 0.657
Pb: 0.383 0.609 0.217
Pb: 0.617 0.391 0.783
In: 0.500 0.250 0.000
K: 0.930 0.672 0.343
Na: 0.000 0.250 0.000
Pb: 0.834 0.109 0.217
Pb: 0.166 0.891 0.783

***

Crystalline TcHgIrO2 at its relaxed geometry. Source: Alexandria via LeMat-Bulk, functional GGA-PBE.

Results
Magnetic moment   0.74 μB/atom
Energy relative to the lowest polymorph listed for this composition   0 meV/atom
Calculated volume   19.1 Å³/atom
ΔE_f (raw)   0.49 eV per atom

Unit cell a=3.797 b=6.617 c=3.797 alpha=90.00 beta=90.00 gamma=90.00
Fractional coordinates of all 5 atoms:
Tc: 0.500 0.500 0.500
O: 0.000 0.000 0.500
Hg: 0.000 0.500 0.000
O: 0.500 0.000 0.000
Ir: 0.000 0.000 0.000

***

- Among the records above, which one has the highest magnetic moment?
  TcHgIrO2

***

What did the second record say?
Crystalline K2NaInPb2 at its relaxed geometry. Source: Alexandria via LeMat-Bulk, functional GGA-PBE.

Results
Magnetic moment   0.00 μB/atom
Calculated volume   37.4 Å³/atom
Electronic total energy   -28.937 eV per cell

Unit cell a=7.256 b=7.148 c=10.037 alpha=110.86 beta=111.19 gamma=90.00
Fractional coordinates of all 12 atoms:
K: 0.587 0.828 0.657
In: 0.500 0.750 0.000
K: 0.413 0.172 0.343
Na: 0.000 0.750 0.000
K: 0.070 0.328 0.657
Pb: 0.383 0.609 0.217
Pb: 0.617 0.391 0.783
In: 0.500 0.250 0.000
K: 0.930 0.672 0.343
Na: 0.000 0.250 0.000
Pb: 0.834 0.109 0.217
Pb: 0.166 0.891 0.783

***

- Which value of magnetic moment does entry 1 give?
  0.00 μB/atom

***

- Among the records above, which one has the highest calculated volume?
  K2NaInPb2